Record 1
A relaxed Eu2TeN crystal. Source: Alexandria via LeMat-Bulk, functional PBE.

Properties
- formation energy from raw total energies (eV per atom) = -1.115
- mass density (g cm⁻³) = 7.73
- symmetry = R-3m

Unit cell a=3.8816 b=3.8816 c=7.6740 alpha=75.35 beta=75.35 gamma=60.00
With the nearest neighbours (Å) after each atom.
Fractional coordinates of all 4 atoms:
Te  0.5000  0.5000  0.5000  6 Eu 3.23
Eu  0.7279  0.7279  0.8164  3 N 2.61
Eu  0.2721  0.2721  0.1836  3 N 2.61
N  0.0000  0.0000  0.0000  6 Eu 2.61

---

Record 2
A relaxed Li4SnB2O6 crystal. Source: Alexandria via LeMat-Bulk, functional PBE.

Properties
- formation energy from raw total energies (eV per atom) = -2.073
- mass density (g cm⁻³) = 3.04
- symmetry = Pnnm

Unit cell a=3.5020 b=8.8390 c=9.3270 alpha=90.00 beta=90.00 gamma=90.00
With the nearest neighbours (Å) after each atom.
Fractional coordinates of all 26 atoms:
B  0.0000  0.7395  0.7261  3 O 1.38-1.41
B  0.5000  0.2395  0.7739  3 O 1.38-1.41
B  0.0000  0.2605  0.2739  3 O 1.38-1.41
B  0.5000  0.7605  0.2261  3 O 1.38-1.41
O  0.5000  0.2733  0.6281  1 B 1.39
O  0.0000  0.2267  0.1281  1 B 1.39
O  0.0000  0.8631  0.6298  1 B 1.41
O  0.0000  0.7733  0.8719  1 B 1.39
O  0.5000  0.9049  0.1701  1 B 1.38
O  0.0000  0.5951  0.6701  1 B 1.38
O  0.5000  0.7267  0.3719  1 B 1.39
O  0.0000  0.4049  0.3299  1 B 1.38
O  0.5000  0.6369  0.1298  1 B 1.41
O  0.0000  0.1369  0.3702  1 B 1.41
O  0.5000  0.0951  0.8299  1 B 1.38
O  0.5000  0.3631  0.8702  1 B 1.41
Li  0.5000  0.1934  0.0256  4 O 2.02-2.09
Li  0.0000  0.3066  0.5256  4 O 2.02-2.09
Li  0.0000  0.6934  0.4744  4 O 2.02-2.09
Li  0.0000  0.9941  0.8071  4 O 1.98-2.04
Li  0.5000  0.5059  0.3071  4 O 1.98-2.04
Li  0.0000  0.0059  0.1929  4 O 1.98-2.04
Li  0.5000  0.8066  0.9744  4 O 2.02-2.09
Li  0.5000  0.4941  0.6929  4 O 1.98-2.04
Sn  0.0000  0.5000  0.0000  6 O 2.45-2.69
Sn  0.5000  0.0000  0.5000  6 O 2.45-2.69

---

Record 3
A relaxed Ac3Pr2Er6 crystal. Source: Alexandria via LeMat-Bulk, functional PBE.

Properties
- energy of formation (meV per atom) = 231
- mass density (g cm⁻³) = 8.02
- symmetry = C2/m

Unit cell a=6.3677 b=6.3718 c=11.7826 alpha=84.81 beta=79.58 gamma=60.02
With the nearest neighbours (Å) after each atom.
Fractional coordinates of all 11 atoms:
Er  0.0872  0.3315  0.7435  2 Pr 3.53, 3 Ac 3.65-3.67, 6 Er 3.66-3.69
Er  0.4187  0.6685  0.7435  2 Pr 3.53, 3 Ac 3.65-3.67, 6 Er 3.66-3.69
Er  0.9128  0.6685  0.2565  2 Pr 3.53, 3 Ac 3.65-3.67, 6 Er 3.66-3.69
Er  0.7500  0.0000  0.7437  2 Pr 3.54, 3 Ac 3.64-3.66, 6 Er 3.66-3.69
Er  0.2500  0.0000  0.2563  2 Pr 3.54, 3 Ac 3.64-3.66, 6 Er 3.66-3.69
Er  0.5813  0.3315  0.2565  2 Pr 3.53, 3 Ac 3.65-3.67, 6 Er 3.66-3.69
Ac  0.0000  0.0000  0.0000  6 Er 3.65-3.66, 6 Ac 3.67-3.70
Ac  0.3349  0.3302  0.0000  6 Er 3.64-3.67, 6 Ac 3.64-3.70
Ac  0.6651  0.6698  0.0000  6 Er 3.64-3.67, 6 Ac 3.64-3.70
Pr  0.8334  0.3332  0.5000  6 Er 3.53-3.54, 3 Pr 3.68
Pr  0.1666  0.6668  0.5000  6 Er 3.53-3.54, 3 Pr 3.68

---

Record 4
A relaxed SrCdAs3 crystal. Source: Alexandria via LeMat-Bulk, functional PBE.

Properties
- energy of formation (meV per atom) = 890
- mass density (g cm⁻³) = 3.93
- symmetry = Pm-3m

Unit cell a=5.6388 b=5.6388 c=5.6388 alpha=90.00 beta=90.00 gamma=90.00
With the nearest neighbours (Å) after each atom.
Fractional coordinates of all 5 atoms:
As  0.0000  0.5000  0.0000  2 Sr 2.82
As  0.0000  0.0000  0.5000  2 Sr 2.82
As  0.5000  0.0000  0.0000  2 Sr 2.82
Cd  0.5000  0.5000  0.5000  12 As 3.99
Sr  0.0000  0.0000  0.0000  6 As 2.82

---

The evaluated E_tot for the records listed, in turn: -9.1192 -6.2855 -4.2470 -2.4193 eV per atom.
The evaluated density of states at the Fermi level for the records listed, in turn: 2.951 0.000 1.284 0.712 states/eV per atom.